No. 1
# Ba2ZrP (SCAN, PBEsol geometry)
# V	148	Å³/f.u.
data_Ba2ZrP
_chemical_formula_sum 'Ba6 Zr3 P3'
_symmetry_space_group_name_H-M 'R -3 m'
_symmetry_Int_Tables_number 166
_symmetry_space_group_name_Hall '-R 3 2"'
_cell_length_a 4.1433
_cell_length_b 4.1433
_cell_length_c 29.9285
_cell_angle_alpha 90.00
_cell_angle_beta 90.00
_cell_angle_gamma 120.00
loop_
_atom_site_label
_atom_site_fract_x
_atom_site_fract_y
_atom_site_fract_z
Ba1 0.0000 0.0000 0.2290
Zr1 0.0000 0.0000 0.0000
P1 0.0000 0.0000 0.5000



No. 2
# Sr2Bi2O5 (SCAN, PBEsol geometry)
# E_form (uncorrected)	-2040.0	meV/atom
# V	168	Å³/f.u.
data_Sr2Bi2O5
_chemical_formula_sum 'Sr4 Bi4 O10'
_symmetry_space_group_name_H-M 'P 1 21/m 1'
_symmetry_Int_Tables_number 11
_cell_length_a 7.3583
_cell_length_b 6.1706
_cell_length_c 7.6292
_cell_angle_alpha 90.00
_cell_angle_beta 104.64
_cell_angle_gamma 90.00
loop_
_symmetry_equiv_pos_as_xyz
'x,y,z'
'-x,-y,-z'
'-x,y+1/2,-z'
'x,-y+1/2,z'
loop_
_atom_site_label
_atom_site_fract_x
_atom_site_fract_y
_atom_site_fract_z
Sr1 0.1030 0.2500 0.1488
Sr2 0.1309 0.2500 0.6573
Bi1 0.3716 0.7500 0.4779
Bi2 0.3893 0.7500 0.9633
O1 0.1727 0.5075 0.4092
O2 0.1884 0.5074 0.9284
O3 0.4945 0.7500 0.2515



No. 3
# Ca2BeAuF (SCAN, PBEsol geometry)
# E_form (uncorrected)	-1130.9	meV/atom
# V	90	Å³/f.u.
data_Ca2BeAuF
_chemical_formula_sum 'Ca2 Be1 Au1 F1'
_symmetry_space_group_name_H-M 'P 4/m m m'
_symmetry_Int_Tables_number 123
_symmetry_space_group_name_Hall '-P 4 2'
_cell_length_a 4.8505
_cell_length_b 4.8505
_cell_length_c 3.8347
_cell_angle_alpha 90.00
_cell_angle_beta 90.00
_cell_angle_gamma 90.00
loop_
_atom_site_label
_atom_site_fract_x
_atom_site_fract_y
_atom_site_fract_z
Ca1 0.0000 0.5000 0.0000
Be1 0.0000 0.0000 0.5000
Au1 0.5000 0.5000 0.5000
F1 0.0000 0.0000 0.0000



No. 4
# AgPb (SCAN, PBEsol geometry)
# V	46	Å³/f.u.
data_AgPb
_chemical_formula_sum 'Ag2 Pb2'
_symmetry_space_group_name_H-M 'P 4/n m m'
_symmetry_Int_Tables_number 129
_cell_length_a 3.3863
_cell_length_b 3.3863
_cell_length_c 7.9508
_cell_angle_alpha 90.00
_cell_angle_beta 90.00
_cell_angle_gamma 90.00
loop_
_symmetry_equiv_pos_as_xyz
'x,y,z'
'-x,-y,-z'
'-y+1/2,x,z'
'y+1/2,-x,-z'
'-x+1/2,-y+1/2,z'
'x+1/2,y+1/2,-z'
'y,-x+1/2,z'
'-y,x+1/2,-z'
'x+1/2,-y,-z'
'-x+1/2,y,z'
'-y,-x,-z'
'y,x,z'
'-x,y+1/2,-z'
'x,-y+1/2,z'
'y+1/2,x+1/2,-z'
'-y+1/2,-x+1/2,z'
loop_
_atom_site_label
_atom_site_fract_x
_atom_site_fract_y
_atom_site_fract_z
Ag1 0.2500 0.2500 0.0908
Pb1 0.2500 0.2500 0.6686



No. 5
# CsLaS2 (SCAN, PBEsol geometry)
# E_form (uncorrected)	-1884.0	meV/atom
# V	149	Å³/f.u.
data_CsLaS2
_chemical_formula_sum 'Cs3 La3 S6'
_symmetry_space_group_name_H-M 'R -3 m'
_symmetry_Int_Tables_number 166
_symmetry_space_group_name_Hall '-R 3 2"'
_cell_length_a 4.3348
_cell_length_b 4.3348
_cell_length_c 27.4395
_cell_angle_alpha 90.00
_cell_angle_beta 90.00
_cell_angle_gamma 120.00
loop_
_atom_site_label
_atom_site_fract_x
_atom_site_fract_y
_atom_site_fract_z
Cs1 0.0000 0.0000 0.0000
La1 0.0000 0.0000 0.5000
S1 0.0000 0.0000 0.1145



No. 6
# Li4Mn3CoO8 (SCAN, PBEsol geometry)
# E_form (uncorrected)	-2102.5	meV/atom
# V	132	Å³/f.u.
# energy above the lowest structure with this stoichiometry	2.70	kJ per mole of atoms
data_Li4Mn3CoO8
_chemical_formula_sum 'Li4 Mn3 Co1 O8'
_symmetry_space_group_name_H-M 'P 1 2/m 1'
_symmetry_Int_Tables_number 10
_cell_length_a 4.8830
_cell_length_b 5.6448
_cell_length_c 5.0497
_cell_angle_alpha 90.00
_cell_angle_beta 108.82
_cell_angle_gamma 90.00
loop_
_symmetry_equiv_pos_as_xyz
'x,y,z'
'-x,-y,-z'
'-x,y,-z'
'x,-y,z'
loop_
_atom_site_label
_atom_site_fract_x
_atom_site_fract_y
_atom_site_fract_z
Li1 0.0000 0.0000 0.0000
Li2 0.0000 0.5000 0.0000
Li3 0.5000 0.2437 0.0000
Mn1 0.0000 0.2454 0.5000
Mn2 0.5000 0.5000 0.5000
Co1 0.5000 0.0000 0.5000
O1 0.2256 0.0000 0.7373
O2 0.2435 0.5000 0.7199
O3 0.2470 0.2649 0.2692



No. 7
# HgIr2Cl (SCAN, PBEsol geometry)
# E_form (uncorrected)	1344.4	meV/atom
# V	65	Å³/f.u.
# energy above the lowest structure with this stoichiometry	45.73	kJ per mole of atoms
data_HgIr2Cl
_chemical_formula_sum 'Hg2 Ir4 Cl2'
_symmetry_space_group_name_H-M 'I 4/m m m'
_symmetry_Int_Tables_number 139
_symmetry_space_group_name_Hall '-I 4 2'
_cell_length_a 4.1279
_cell_length_b 4.1279
_cell_length_c 7.6050
_cell_angle_alpha 90.00
_cell_angle_beta 90.00
_cell_angle_gamma 90.00
loop_
_atom_site_label
_atom_site_fract_x
_atom_site_fract_y
_atom_site_fract_z
Hg1 0.0000 0.0000 0.0000
Ir1 0.0000 0.5000 0.2500
Cl1 0.0000 0.0000 0.5000



No. 8
# GaSi3Os (SCAN, PBEsol geometry)
# E_form (uncorrected)	595.9	meV/atom
# V	99	Å³/f.u.
data_GaSi3Os
_chemical_formula_sum 'Ga1 Si3 Os1'
_symmetry_space_group_name_H-M 'P m -3 m'
_symmetry_Int_Tables_number 221
_symmetry_space_group_name_Hall '-P 4 2 3'
_cell_length_a 4.6235
_cell_length_b 4.6235
_cell_length_c 4.6235
_cell_angle_alpha 90.00
_cell_angle_beta 90.00
_cell_angle_gamma 90.00
loop_
_atom_site_label
_atom_site_fract_x
_atom_site_fract_y
_atom_site_fract_z
Ga1 0.0000 0.0000 0.0000
Si1 0.0000 0.5000 0.5000
Os1 0.5000 0.5000 0.5000



Number 1: final energy -2.2051 Ry per atom, calculated density 4.44 g/cm3. Number 2: final energy -2.0516 Ry per atom, calculated density 6.67 g/cm3. Number 3: final energy -1.4998 Ry per atom, calculated density 5.62 g/cm3. Number 4: final energy -3.9314 Ry per atom, calculated density 11.48 g/cm3. Number 5: final energy -1.9791 Ry per atom, calculated density 3.75 g/cm3. Number 6: final energy -0.7585 Ry per atom, calculated density 4.78 g/cm3. Number 7: final energy -3.9132 Ry per atom, calculated density 15.90 g/cm3. Number 8: final energy -1.6948 Ry per atom, calculated density 5.78 g/cm3.